No. 1
## AlHBr3 (PBE)

Data for crystalline AlHBr3 at its relaxed geometry.

## Properties
Total energy ... -2.55 eV per atom

a b c (Å): 5.0687 5.0687 5.0687
angles (deg): 90.00 90.00 90.00
With the nearest neighbours (Å) after each atom.
Space group Pm-3m (No. 221)
One atom of each set of equivalent atoms:
1 Al 0.0000 0.0000 0.0000  6 Br 2.53
2 H 0.5000 0.5000 0.5000  12 Br 3.58
3 Br 0.0000 0.0000 0.5000  2 Al 2.53



No. 2
## AgB3Pd (PBE)

Data for crystalline AgB3Pd at its relaxed geometry.

## Properties
ΔE_f ... 1.43 eV/atom
Total energy ... -4.18 eV per atom

a b c (Å): 4.1278 4.1278 4.1278
angles (deg): 90.00 90.00 90.00
With the nearest neighbours (Å) after each atom.
Space group Pm-3m (No. 221)
One atom of each set of equivalent atoms:
1 Ag 0.0000 0.0000 0.0000  12 B 2.92
2 B 0.0000 0.5000 0.5000  2 Pd 2.06
3 Pd 0.5000 0.5000 0.5000  6 B 2.06



No. 3
## TaSeBr2 (PBE)

Data for crystalline TaSeBr2 at its relaxed geometry.

## Properties
Formation energy without anion corrections ... -0.061 eV/atom
Total energy ... -4.73 eV per atom

a b c (Å): 3.2175 3.2175 33.4619
angles (deg): 90.00 90.00 120.00
With the nearest neighbours (Å) after each atom.
Space group R-3m (No. 166, hexagonal axes)
One atom of each set of equivalent atoms:
1 Ta 0.0000 0.0000 0.0000  6 Br 2.68
2 Se 0.0000 0.0000 0.5000  6 Se 3.22
3 Br 0.0000 0.0000 0.3909  3 Ta 2.68



No. 4
## Pm2Ga3Ag6 (PBE)

Data for crystalline Pm2Ga3Ag6 at its relaxed geometry.

## Properties
ΔE_f ... -0.26 eV/atom
Total energy ... -3.51 eV per atom

a b c (Å): 7.7864 7.7864 4.4035
angles (deg): 90.00 90.00 120.00
With the nearest neighbours (Å) after each atom.
Space group P-62m (No. 189)
One atom of each set of equivalent atoms:
1 Pm 0.3333 0.6667 0.0000  3 Ag 3.20, 6 Ga 3.26
2 Ga 0.0000 0.3917 0.5000  5 Ag 2.56-2.72
3 Ag 0.0000 0.2079 0.0000  2 Ga 2.63, 2 Ag 2.80
4 Ag 0.0000 0.7199 0.5000  3 Ga 2.56-2.72